# 1
VASP calculation (PBE) on a relaxed TbTaIO4 crystal.

Cell: 7.308 7.308 6.842 Å, 104.94 104.94 52.05°
Atoms (fractional coordinates):
Tb1 0.207 0.207 0.322
Tb2 0.793 0.793 0.678
Ta1 0.111 0.111 0.708
Ta2 0.889 0.889 0.292
I1 0.458 0.458 0.796
I2 0.542 0.542 0.204
O1 0.039 0.039 0.346
O2 0.046 0.590 0.374
O3 0.160 0.160 0.990
O4 0.410 0.954 0.626
O5 0.590 0.046 0.374
O6 0.840 0.840 0.010
O7 0.954 0.410 0.626
O8 0.961 0.961 0.654

**Symmetry**: C2/m, No. 12
**DFT total energy**: -8.025 eV/atom
**Mass density**: 6.39 g/cm³

# 2
VASP calculation (PBE) on a relaxed V5MoH4 crystal.

Cell: 5.287 5.287 6.256 Å, 107.70 107.70 34.03°
Atoms (fractional coordinates):
V1 0.000 0.000 0.000
V2 0.325 0.325 0.163
V3 0.331 0.331 0.679
V4 0.669 0.669 0.321
V5 0.675 0.675 0.837
Mo1 0.000 0.000 0.500
H1 0.171 0.171 0.461
H2 0.496 0.496 0.152
H3 0.504 0.504 0.848
H4 0.829 0.829 0.539

**Symmetry**: C2/m, No. 12
**DOS(E_F)**: 2.92 states/eV/cell
**DFT total energy**: -7.120 eV/atom
**Mass density**: 6.35 g/cm³

# 3
VASP calculation (PBE) on a relaxed Al2TlCuCl crystal.

Cell: 5.386 5.386 5.449 Å, 90.00 90.00 90.00°
Atoms (fractional coordinates):
Al1 0.000 0.500 0.000
Al2 0.500 0.000 0.000
Tl1 0.000 0.000 0.000
Cu1 0.500 0.500 0.500
Cl1 0.000 0.000 0.500

**Symmetry**: P4/mmm, No. 123
**DOS(E_F)**: 2.15 states/eV/cell
**DFT total energy**: -2.343 eV/atom
**Mass density**: 3.75 g/cm³

# 4
VASP calculation (PBE) on a relaxed TlTeH2Cl8 crystal.

Cell: 6.883 6.884 9.020 Å, 82.45 82.58 68.32°
Atoms (fractional coordinates):
Tl1 0.000 0.000 0.000
Te1 0.000 0.000 0.500
H1 0.264 0.264 0.200
H2 0.736 0.736 0.800
Cl1 0.219 0.220 0.449
Cl2 0.224 0.768 0.308
Cl3 0.232 0.776 0.693
Cl4 0.293 0.293 0.054
Cl5 0.707 0.707 0.946
Cl6 0.768 0.224 0.307
Cl7 0.776 0.232 0.692
Cl8 0.781 0.780 0.551

**Symmetry**: P-1, No. 2
**DOS(E_F)**: 4.47 states/eV/cell
**DFT total energy**: -2.820 eV/atom
**Mass density**: 2.61 g/cm³

# 5
VASP calculation (PBE) on a relaxed Rb2SiAu crystal.

Cell: 6.516 6.516 7.345 Å, 90.00 90.00 69.20°
Atoms (fractional coordinates):
Rb1 0.011 0.328 0.250
Rb2 0.328 0.011 0.750
Rb3 0.672 0.989 0.250
Rb4 0.989 0.672 0.750
Si1 0.288 0.712 0.250
Si2 0.712 0.288 0.750
Au1 0.500 0.500 0.000
Au2 0.500 0.500 0.500

**Symmetry**: Cmcm, No. 63
**DOS(E_F)**: 4.70 states/eV/cell
**DFT total energy**: -2.763 eV/atom
**Mass density**: 4.51 g/cm³

# 6
VASP calculation (PBE) on a relaxed NpAl3Ga crystal.

Cell: 8.500 3.592 11.762 Å, 90.00 90.00 90.00°
Atoms (fractional coordinates):
Np1 0.093 0.250 0.012
Np2 0.407 0.750 0.512
Np3 0.593 0.250 0.488
Np4 0.907 0.750 0.988
Al1 0.073 0.250 0.413
Al2 0.081 0.750 0.227
Al3 0.161 0.750 0.797
Al4 0.339 0.250 0.297
Al5 0.419 0.250 0.727
Al6 0.427 0.750 0.913
Al7 0.573 0.250 0.087
Al8 0.581 0.750 0.273
Al9 0.661 0.750 0.703
Al10 0.839 0.250 0.203
Al11 0.919 0.250 0.773
Al12 0.927 0.750 0.587
Ga1 0.153 0.250 0.622
Ga2 0.347 0.750 0.122
Ga3 0.653 0.250 0.878
Ga4 0.847 0.750 0.378

**Excess energy over the best structure of this formula in the dataset**: 0.0 meV per atom
**Symmetry**: Pnma, No. 62
**DFT formation energy**: -0.0130 eV/atom
**DOS(E_F)**: 18.62 states/eV/cell
**Mass density**: 7.17 g/cm³

# 7
VASP calculation (PBE) on a relaxed AlAg2Ir crystal.

Cell: 2.797 2.797 9.432 Å, 90.00 90.00 118.02°
Atoms (fractional coordinates):
Al1 0.000 0.000 0.000
Ag1 0.500 0.500 0.243
Ag2 0.500 0.500 0.757
Ir1 0.000 0.000 0.500

**Symmetry**: Cmmm, No. 65
**DFT formation energy**: 0.2304 eV/atom
**DOS(E_F)**: 3.69 states/eV/cell
**Mass density**: 11.09 g/cm³

# 8
VASP calculation (PBE) on a relaxed RbGe2PtO6 crystal.

Cell: 7.389 7.389 5.941 Å, 99.99 99.99 89.69°
Atoms (fractional coordinates):
Rb1 0.094 0.906 0.750
Rb2 0.906 0.094 0.250
Ge1 0.203 0.379 0.867
Ge2 0.379 0.203 0.367
Ge3 0.621 0.797 0.633
Ge4 0.797 0.621 0.133
Pt1 0.295 0.705 0.250
Pt2 0.705 0.295 0.750
O1 0.006 0.730 0.277
O2 0.217 0.617 0.907
O3 0.270 0.994 0.223
O4 0.277 0.376 0.191
O5 0.376 0.277 0.691
O6 0.383 0.783 0.593
O7 0.617 0.217 0.407
O8 0.624 0.723 0.309
O9 0.723 0.624 0.809
O10 0.730 0.006 0.777
O11 0.783 0.383 0.093
O12 0.994 0.270 0.723

**Symmetry**: C2/c, No. 15
**DOS(E_F)**: 4.66 states/eV/cell
**DFT total energy**: -5.737 eV/atom
**Mass density**: 5.51 g/cm³

# 9
VASP calculation (PBE) on a relaxed H5Cl6 crystal.

Cell: 6.316 6.316 7.093 Å, 104.85 104.85 105.86°
Atoms (fractional coordinates):
H1 0.000 0.000 0.000
H2 0.182 0.818 0.000
H3 0.430 0.570 0.500
H4 0.570 0.430 0.500
H5 0.818 0.182 0.000
Cl1 0.132 0.839 0.203
Cl2 0.161 0.868 0.797
Cl3 0.477 0.477 0.690
Cl4 0.523 0.523 0.310
Cl5 0.839 0.132 0.203
Cl6 0.868 0.161 0.797

**Symmetry**: C2/m, No. 12
**DOS(E_F)**: 0.12 states/eV/cell
**DFT total energy**: -2.522 eV/atom
**Mass density**: 1.47 g/cm³

# 10
VASP calculation (PBE) on a relaxed MgCrPd crystal.

Cell: 2.961 4.475 7.248 Å, 81.63 78.25 89.90°
Atoms (fractional coordinates):
Mg1 0.090 0.263 0.320
Mg2 0.910 0.737 0.680
Cr1 0.237 0.825 0.025
Cr2 0.763 0.175 0.975
Pd1 0.420 0.243 0.661
Pd2 0.580 0.757 0.339

**Symmetry**: P-1, No. 2
**DFT formation energy**: -0.0727 eV/atom
**DOS(E_F)**: 5.17 states/eV/cell
**Mass density**: 6.53 g/cm³

# 11
VASP calculation (PBE) on a relaxed ZrPtBr crystal.

Cell: 3.724 3.724 6.632 Å, 90.00 90.00 120.00°
Atoms (fractional coordinates):
Zr1 0.000 0.000 0.000
Pt1 0.333 0.667 0.780
Br1 0.667 0.333 0.291

**Excess energy over the best structure of this formula in the dataset**: 0.0 meV per atom
**Symmetry**: P3m1, No. 156
**DOS(E_F)**: 3.73 states/eV/cell
**Mass density**: 7.63 g/cm³

# 12
VASP calculation (PBE) on a relaxed CsReS2Cl crystal.

Cell: 5.455 5.455 6.204 Å, 90.00 90.00 90.00°
Atoms (fractional coordinates):
Cs1 0.000 0.000 0.000
Re1 0.500 0.500 0.500
S1 0.000 0.500 0.000
S2 0.500 0.000 0.000
Cl1 0.000 0.000 0.500

**Excess energy over the best structure of this formula in the dataset**: 2302.2 meV per atom
**Symmetry**: P4/mmm, No. 123
**DOS(E_F)**: 4.74 states/eV/cell
**Mass density**: 3.77 g/cm³